No. 1
# CeMnH2 | Alexandria | PBE | relaxed
# Energy (eV per atom): -5.498
data_CeMnH2
_symmetry_space_group_name_H-M 'R -3 m'
_symmetry_Int_Tables_number 166
_symmetry_space_group_name_Hall '-R 3 2"'
_cell_length_a 3.9475
_cell_length_b 3.9475
_cell_length_c 11.8909
_cell_angle_alpha 90.00
_cell_angle_beta 90.00
_cell_angle_gamma 120.00
loop_
_atom_site_label
_atom_site_type_symbol
_atom_site_fract_x
_atom_site_fract_y
_atom_site_fract_z
_atom_site_occupancy
Ce1 Ce 0.0000 0.0000 0.0000 1
Mn1 Mn 0.0000 0.0000 0.5000 1
H1 H 0.0000 0.0000 0.3602 1

=====

No. 2
# CeMnH4 | Alexandria | PBE | relaxed
# Energy (eV per atom): -4.988
data_CeMnH4
_symmetry_space_group_name_H-M 'I m m a'
_symmetry_Int_Tables_number 74
_symmetry_space_group_name_Hall '-I 2b 2'
_cell_length_a 4.251
_cell_length_b 4.498
_cell_length_c 12.281
_cell_angle_alpha 90.00
_cell_angle_beta 90.00
_cell_angle_gamma 90.00
loop_
_atom_site_label
_atom_site_type_symbol
_atom_site_fract_x
_atom_site_fract_y
_atom_site_fract_z
_atom_site_occupancy
Ce1 Ce 0.000 0.250 0.137 1
Mn1 Mn 0.000 0.250 0.570 1
H1 H 0.000 0.012 0.319 1
H2 H 0.248 0.000 0.000 1

=====

No. 3
# CeMnH5 | Alexandria | PBE | relaxed
# Energy (eV per atom): -4.843
data_CeMnH5
_symmetry_space_group_name_H-M 'I m m m'
_symmetry_Int_Tables_number 71
_symmetry_space_group_name_Hall '-I 2 2'
_cell_length_a 3.624
_cell_length_b 4.757
_cell_length_c 6.578
_cell_angle_alpha 90.00
_cell_angle_beta 90.00
_cell_angle_gamma 90.00
loop_
_atom_site_label
_atom_site_type_symbol
_atom_site_fract_x
_atom_site_fract_y
_atom_site_fract_z
_atom_site_occupancy
Ce1 Ce 0.000 0.000 0.000 1
Mn1 Mn 0.000 0.000 0.500 1
H1 H 0.000 0.254 0.333 1
H2 H 0.000 0.500 0.000 1

=====

Q: Look up the energy of the first one.
A: -5.498 eV per atom